Entry 1:
Material: SmH8Pt2
Method: DFT, PBE
State: optimized geometry

Lattice parameters (Å, degrees): 3.798 5.538 5.538 84.92 69.77 69.77
Sites, in units of the cell vectors:
H  0.161  0.685  0.993
H  0.839  0.315  0.007
H  0.161  0.993  0.685
H  0.155  0.343  0.343
H  0.500  0.318  0.682
H  0.845  0.657  0.657
H  0.839  0.007  0.315
H  0.500  0.682  0.318
Pt  0.000  0.311  0.689
Pt  0.000  0.689  0.311
Sm  0.500  0.000  0.000

Summary:
For the total energy, the calculation gives -46.29 eV/f.u. The calculation puts the spin magnetization at 0.000 μB/atom.

Entry 2:
Material: Sm2HPt
Method: DFT, PBE
State: optimized geometry

Lattice parameters (Å, degrees): 4.069 4.069 6.525 71.83 71.83 60.00
Sites, in units of the cell vectors:
Sm  0.756  0.756  0.732
Sm  0.244  0.244  0.268
Pt  0.000  0.000  0.000
H  0.500  0.500  0.500

Summary:
The calculation puts the spin magnetization at 0.000 μB/atom. The energy above the lowest structure with this stoichiometry is 0 meV/atom.

Entry 3:
Material: SmH4Pt2
Method: DFT, PBE
State: optimized geometry

Lattice parameters (Å, degrees): 7.778 7.233 7.815 122.18 36.23 139.80
Sites, in units of the cell vectors:
H  0.555  0.085  0.292
H  0.485  0.206  0.906
H  0.010  0.987  0.705
H  0.583  0.457  0.683
H  0.421  0.932  0.652
H  0.792  0.503  0.105
H  0.244  0.591  0.198
H  0.933  0.172  0.416
Pt  0.127  0.564  0.693
Pt  0.110  0.773  0.447
Pt  0.495  0.398  0.507
Pt  0.341  0.286  0.226
Sm  0.524  0.865  0.838
Sm  0.881  0.930  0.082

Summary:
For the total energy, the calculation gives -33.16 eV/f.u. The calculation puts the spin magnetization at 0.000 μB/atom.

Entry 4:
Material: SmHPt2
Method: DFT, PBE
State: optimized geometry

Lattice parameters (Å, degrees): 3.033 3.033 8.163 79.29 79.29 60.00
Sites, in units of the cell vectors:
Pt  0.884  0.884  0.347
Pt  0.116  0.116  0.653
Sm  0.000  0.000  0.000
H  0.500  0.500  0.500

Summary:
For the total energy, the calculation gives -19.32 eV/f.u. The calculation puts the spin magnetization at 0.000 μB/atom.

Entry 5:
Material: SnHPt2
Method: DFT, PBE
State: optimized geometry

Lattice parameters (Å, degrees): 2.954 2.954 8.067 79.45 79.45 60.00
Sites, in units of the cell vectors:
Pt  0.885  0.885  0.344
Pt  0.115  0.115  0.656
Sn  0.000  0.000  0.000
H  0.500  0.500  0.500

Summary:
The calculation puts the spin magnetization at 0.000 μB/atom. The energy above the lowest structure with this stoichiometry is 303 meV/atom.

Entry 6:
Material: SnHPt4
Method: DFT, PBE
State: optimized geometry

Lattice parameters (Å, degrees): 5.432 6.429 10.314 90.00 90.00 90.00
Sites, in units of the cell vectors:
H  0.750  0.399  0.947
H  0.250  0.899  0.553
H  0.750  0.101  0.447
H  0.250  0.601  0.053
Pt  0.001  0.193  0.930
Pt  0.001  0.307  0.430
Pt  0.750  0.041  0.252
Pt  0.501  0.693  0.570
Pt  0.250  0.921  0.377
Pt  0.750  0.079  0.623
Pt  0.250  0.579  0.877
Pt  0.501  0.807  0.070
Pt  0.999  0.693  0.570
Pt  0.999  0.807  0.070
Pt  0.750  0.421  0.123
Pt  0.250  0.541  0.248
Pt  0.499  0.307  0.430
Pt  0.750  0.459  0.752
Pt  0.499  0.193  0.930
Pt  0.250  0.959  0.748
Sn  0.250  0.159  0.161
Sn  0.250  0.341  0.661
Sn  0.750  0.659  0.339
Sn  0.750  0.841  0.839

Summary:
For the total energy, the calculation gives -32.30 eV/f.u. The calculation puts the spin magnetization at 0.000 μB/atom.